1.
## La2Te5 (PBEsol)

Data for crystalline La2Te5 at its relaxed geometry.

```
La2Te5
1.0
2.207 -22.282 0.000
2.207 22.282 0.000
0.000 0.000 4.414
La Te
4 10
direct
0.098 0.902 0.750
0.308 0.692 0.750
0.692 0.308 0.250
0.902 0.098 0.250
0.042 0.958 0.250
0.174 0.826 0.750
0.250 0.750 0.250
0.381 0.619 0.750
0.458 0.542 0.250
0.542 0.458 0.750
0.619 0.381 0.250
0.750 0.250 0.750
0.826 0.174 0.250
0.958 0.042 0.750
```

Output
Uncorrected energy = -5.2764 eV/atom
Uncorrected formation energy = -1.23 eV per atom
Volume = 31.01 Å³ per atom

=====

2.
## Ba2ZnBr (PBEsol)

Data for crystalline Ba2ZnBr at its relaxed geometry.

```
Ba2ZnBr
1.0
0.000 4.073 4.073
4.073 0.000 4.073
4.073 4.073 0.000
Ba Zn Br
2 1 1
direct
0.250 0.250 0.250
0.750 0.750 0.750
0.000 0.000 0.000
0.500 0.500 0.500
```

Output
Energy above the most stable polymorph in this dataset = 0.1709 eV per atom
Uncorrected energy = -2.5852 eV/atom
Uncorrected formation energy = -0.65 eV per atom
Volume = 33.78 Å³ per atom